Entry from Alexandria via LeMat-Bulk: a relaxed structure of BaZr2As (PBE-GGA).

space group	Pm, No. 6
magnetization	0.0	μB per formula unit
total energy	-6.255	eV per atom
theoretical density	5.4	g cm⁻³
calculated formation energy	-338	meV/atom

a b c (Å): 4.257 4.027 7.345
angles (deg): 74.34 90.00 90.00
Element x y z (fractional)
Ba: 0.500 0.725 0.679
As: 0.000 0.337 0.452
Zr: 0.000 0.978 0.165
Zr: 0.500 0.459 0.203